DFT (PBE) results for a geometry-optimized Pm6Bi5N structure.

a = 7.690 Å, b = 7.755 Å, c = 7.636 Å
α = 59.48°, β = 80.12°, γ = 70.25°
Fractional coordinates of all 12 atoms:
Pm  0.255  0.228  0.000
Pm  0.212  0.648  0.284
Pm  0.788  0.067  0.284
Pm  0.745  0.772  0.000
Pm  0.788  0.352  0.716
Pm  0.212  0.933  0.716
Bi  0.000  0.337  0.326
Bi  0.000  0.663  0.674
Bi  0.500  0.184  0.631
Bi  0.500  0.500  0.000
Bi  0.500  0.816  0.369
N  0.000  0.000  0.000

Its formation energy without anion corrections is -0.8388 eV per atom. The total energy is -5.525 eV/atom. The density of states at the Fermi level is 3.47 states/eV/f.u. As for the crystal system: monoclinic. The space-group type is C2/m, No. 12.

DFT (PBE) results for a geometry-optimized Zr7N4O8 structure.

a = 6.225 Å, b = 6.296 Å, c = 6.502 Å
α = 100.61°, β = 99.89°, γ = 99.14°
Fractional coordinates of all 19 atoms:
O  0.945  0.328  0.111
O  0.420  0.831  0.594
O  0.055  0.672  0.889
O  0.580  0.169  0.406
O  0.677  0.916  0.046
O  0.323  0.084  0.954
O  0.184  0.428  0.570
O  0.816  0.572  0.430
Zr  0.722  0.874  0.379
Zr  0.395  0.674  0.866
Zr  0.840  0.385  0.676
Zr  0.160  0.615  0.324
Zr  0.000  0.000  0.000
Zr  0.605  0.326  0.134
Zr  0.278  0.126  0.621
N  0.434  0.595  0.182
N  0.069  0.924  0.317
N  0.931  0.076  0.683
N  0.566  0.405  0.818

Its formation energy without anion corrections is -2.6494 eV per atom. The total energy is -9.639 eV/atom. The density of states at the Fermi level is 0.00 states/eV/f.u. As for the crystal system: triclinic. The space-group type is P-1, No. 2.

DFT (PBE) results for a geometry-optimized NaNd2OsO6 structure.

a = 5.984 Å, b = 5.570 Å, c = 9.709 Å
α = 56.05°, β = 90.00°, γ = 90.00°
Fractional coordinates of all 20 atoms:
Nd  0.071  0.776  0.746
Nd  0.429  0.776  0.246
Nd  0.929  0.224  0.254
Nd  0.571  0.224  0.754
O  0.674  0.154  0.053
O  0.946  0.395  0.730
O  0.281  0.264  0.572
O  0.554  0.395  0.230
O  0.781  0.736  0.928
O  0.326  0.846  0.947
O  0.826  0.154  0.553
O  0.219  0.264  0.072
O  0.174  0.846  0.447
O  0.719  0.736  0.428
O  0.054  0.605  0.270
O  0.446  0.605  0.770
Na  0.500  0.000  0.500
Na  0.000  0.000  0.000
Os  0.000  0.500  0.500
Os  0.500  0.500  0.000

Its formation energy without anion corrections is -2.3302 eV per atom. The total energy is -7.514 eV/atom. As for the crystal system: monoclinic. The space-group type is P2_1/c, No. 14.

DFT (PBE) results for a geometry-optimized DyZrCu structure.

a = 4.417 Å, b = 3.421 Å, c = 8.875 Å
α = 78.89°, β = 90.00°, γ = 90.00°
Fractional coordinates of all 6 atoms:
Zr  0.750  0.287  0.425
Zr  0.250  0.713  0.575
Cu  0.250  0.542  0.916
Cu  0.750  0.458  0.084
Dy  0.250  0.903  0.194
Dy  0.750  0.097  0.806

Its excess energy over the best structure of this formula in the dataset is 0 meV/atom. The total energy is -5.853 eV/atom. The calculated formation energy is -104 meV per atom. The density of states at the Fermi level is 2.96 states/eV/f.u. As for the crystal system: orthorhombic. The space-group type is Cmcm, No. 63.

DFT (PBE) results for a geometry-optimized Pr5Nd structure.

a = 5.249 Å, b = 5.238 Å, c = 8.305 Å
α = 108.38°, β = 90.00°, γ = 90.00°
Fractional coordinates of all 6 atoms:
Nd  0.000  0.000  0.000
Pr  0.500  0.833  0.667
Pr  0.500  0.500  0.000
Pr  0.500  0.167  0.333
Pr  0.000  0.334  0.668
Pr  0.000  0.666  0.332

The total energy is -4.766 eV/atom. The calculated formation energy is 11 meV per atom. The density of states at the Fermi level is 9.80 states/eV/f.u. As for the crystal system: orthorhombic. The space-group type is Cmmm, No. 65.

DFT (PBE) results for a geometry-optimized MnAlAs2Br structure.

a = 4.601 Å, b = 4.601 Å, c = 5.954 Å
α = 90.00°, β = 90.00°, γ = 90.00°
Fractional coordinates of all 5 atoms:
As  0.000  0.500  0.000
As  0.500  0.000  0.000
Al  0.500  0.500  0.500
Mn  0.000  0.000  0.000
Br  0.000  0.000  0.500

Its excess energy over the best structure of this formula in the dataset is 0 meV/atom. Its formation energy without anion corrections is 0.3173 eV per atom. The total energy is -4.459 eV/atom. The density of states at the Fermi level is 2.11 states/eV/f.u. As for the crystal system: tetragonal. The space-group type is P4/mmm, No. 123.